No. 1
VASP calculation (PBE) on a geometry-optimized PuThAgHg structure.

Lattice parameters (Å, degrees): 5.3125 5.3125 5.3125 60.00 60.00 60.00
Each line ends with the local moment (μB).
Sites, in units of the cell vectors:
Ag1 0.7500 0.7500 0.7500  0.03
Hg1 0.2500 0.2500 0.2500  0.02
Th1 0.0000 0.0000 0.0000  0.30
Pu1 0.5000 0.5000 0.5000  5.49

Symmetry ... F-43m
Volume ... 106.0 Å³ per cell
Total moment ... 1.606 μB per atom
DFT formation energy ... -29 meV per atom
Total energy ... -6.2556 eV per atom
D(E_F) ... 12.84 states/eV/f.u.


No. 2
VASP calculation (PBE) on a geometry-optimized Ru structure.

Lattice parameters (Å, degrees): 4.1670 4.1670 4.7810 90.00 90.00 120.00
Sites, in units of the cell vectors:
Ru1 0.0000 0.0000 0.2500
Ru2 0.0000 0.0000 0.7500
Ru3 0.3333 0.6667 0.2500
Ru4 0.6667 0.3333 0.7500

Symmetry ... P6_3/mmc
Volume ... 71.9 Å³ per cell
Total moment ... 0.000 μB per atom
Energy above the lowest structure with this stoichiometry ... 1.348 eV per formula unit
DFT formation energy ... 1348 meV per atom
Total energy ... -7.9280 eV per atom
D(E_F) ... 1.39 states/eV/f.u.


No. 3
VASP calculation (PBE) on a geometry-optimized LaSi structure.

Lattice parameters (Å, degrees): 5.9231 5.9231 8.2831 64.32 64.32 40.21
Each line ends with the local moment (μB).
Sites, in units of the cell vectors:
La1 0.8902 0.8902 0.0542  0.09
La2 0.7214 0.7214 0.6779  0.04
La3 0.5400 0.5400 0.3411  0.07
Si1 0.2506 0.2506 0.3692  0.00
Si2 0.0280 0.0280 0.6256  0.00
Si3 0.4032 0.4032 0.7654  0.00

Symmetry ... Cm
Formation energy without anion corrections ... -0.577 eV per atom
Volume ... 166.4 Å³ per cell
Total moment ... 0.115 μB per atom
Total energy ... -5.7518 eV per atom
D(E_F) ... 1.61 states/eV/f.u.


No. 4
VASP calculation (PBE) on a geometry-optimized HoTmGeAu structure.

Lattice parameters (Å, degrees): 4.0190 4.2801 5.7726 90.00 110.37 90.00
Sites, in units of the cell vectors:
Ho1 0.8600 0.5000 0.7199
Tm1 0.1387 0.0000 0.2774
Ge1 0.5866 0.5000 0.1733
Au1 0.4147 0.0000 0.8294

Symmetry ... Amm2
Volume ... 93.1 Å³ per cell
Total moment ... 0.000 μB per atom
Energy above the lowest structure with this stoichiometry ... 0.000 eV per formula unit
DFT formation energy ... -864 meV per atom
Total energy ... -5.1005 eV per atom
D(E_F) ... 2.17 states/eV/f.u.


No. 5
VASP calculation (PBE) on a geometry-optimized BeAgSe2 structure.

Lattice parameters (Å, degrees): 3.3659 3.3659 6.8951 90.00 90.00 90.00
Sites, in units of the cell vectors:
Be1 0.5000 0.5000 0.9376
Se1 0.0000 0.0000 0.8406
Se2 0.5000 0.5000 0.2600
Ag1 0.0000 0.0000 0.4618

Symmetry ... P4mm
Formation energy without anion corrections ... -0.113 eV per atom
Volume ... 78.1 Å³ per cell
Total moment ... 0.000 μB per atom
Total energy ... -3.4995 eV per atom
D(E_F) ... 2.01 states/eV/f.u.


No. 6
VASP calculation (PBE) on a geometry-optimized Re2NiAu structure.

Lattice parameters (Å, degrees): 2.6909 2.6909 8.9406 90.00 90.00 111.61
Sites, in units of the cell vectors:
Au1 0.0000 0.0000 0.5150
Ni1 0.5000 0.5000 0.7639
Re1 0.0000 0.0000 0.9881
Re2 0.5000 0.5000 0.2330

Symmetry ... Cmm2
Volume ... 60.2 Å³ per cell
Total moment ... 0.000 μB per atom
Energy above the lowest structure with this stoichiometry ... 0.480 eV per formula unit
DFT formation energy ... 320 meV per atom
Total energy ... -8.1688 eV per atom
D(E_F) ... 3.79 states/eV/f.u.


No. 7
VASP calculation (PBE) on a geometry-optimized Ce2Ge5Ir3 structure.

Lattice parameters (Å, degrees): 4.2981 6.8832 12.6150 90.00 99.81 90.00
Sites, in units of the cell vectors:
Ce1 0.4785 0.7467 0.9571
Ce2 0.1742 0.7358 0.3484
Ce3 0.8258 0.2358 0.6516
Ce4 0.5215 0.2467 0.0429
Ge1 0.3996 0.3837 0.7993
Ge2 0.2909 0.5165 0.5818
Ge3 0.7091 0.0165 0.4182
Ge4 0.1203 0.2640 0.2405
Ge5 0.2936 0.9358 0.5871
Ge6 0.9502 0.0844 0.9004
Ge7 0.7064 0.4358 0.4129
Ge8 0.8797 0.7640 0.7595
Ge9 0.0498 0.5844 0.0996
Ge10 0.6004 0.8837 0.2007
Ir1 0.7779 0.7235 0.5558
Ir2 0.6057 0.5085 0.2113
Ir3 0.0536 0.9659 0.1073
Ir4 0.2221 0.2235 0.4442
Ir5 0.9464 0.4659 0.8927
Ir6 0.3943 0.0085 0.7887

Symmetry ... Cmc2_1
Volume ... 367.8 Å³ per cell
Total moment ... 0.000 μB per atom
Energy above the lowest structure with this stoichiometry ... 0.326 eV per formula unit
DFT formation energy ... -709 meV per atom
Total energy ... -6.8623 eV per atom
D(E_F) ... 5.00 states/eV/f.u.


No. 8
VASP calculation (PBE) on a geometry-optimized CoIr2Cl structure.

Lattice parameters (Å, degrees): 5.2026 5.2026 5.2026 149.20 126.76 62.78
Each line ends with the local moment (μB).
Sites, in units of the cell vectors:
Ir1 0.0037 0.0037 0.0000  0.39
Ir2 0.7456 0.2456 0.5000  0.26
Co1 0.2566 0.7566 0.5000  1.67
Cl1 0.4942 0.4942 0.0000  0.04

Symmetry ... Imm2
Formation energy without anion corrections ... 0.844 eV per atom
Volume ... 57.2 Å³ per cell
Total moment ... 0.587 μB per atom
Energy above the lowest structure with this stoichiometry ... 1.721 eV per formula unit
Total energy ... -5.8249 eV per atom
D(E_F) ... 6.22 states/eV/f.u.


No. 9
VASP calculation (PBE) on a geometry-optimized SnTePd4 structure.

Lattice parameters (Å, degrees): 4.1775 7.2645 14.3235 90.00 90.00 90.00
Sites, in units of the cell vectors:
Sn1 0.7500 0.7496 0.7731
Sn2 0.2500 0.2504 0.2269
Sn3 0.2500 0.7504 0.2731
Sn4 0.7500 0.2496 0.7269
Te1 0.7500 0.2503 0.4649
Te2 0.2500 0.7497 0.5351
Te3 0.2500 0.2497 0.9649
Te4 0.7500 0.7503 0.0351
Pd1 0.7500 0.9525 0.6042
Pd2 0.2500 0.0475 0.3958
Pd3 0.2500 0.5475 0.1042
Pd4 0.7500 0.4525 0.8958
Pd5 0.7500 0.7499 0.4081
Pd6 0.2500 0.2501 0.5919
Pd7 0.2500 0.7501 0.9081
Pd8 0.7500 0.2499 0.0919
Pd9 0.7500 0.0473 0.8952
Pd10 0.2500 0.9527 0.1048
Pd11 0.2500 0.4527 0.3952
Pd12 0.7500 0.5473 0.6048
Pd13 0.7500 0.0005 0.2503
Pd14 0.2500 0.9995 0.7497
Pd15 0.2500 0.4995 0.7503
Pd16 0.7500 0.5005 0.2497

Symmetry ... Pnma
Formation energy without anion corrections ... -0.370 eV per atom
Volume ... 434.7 Å³ per cell
Total moment ... 0.000 μB per atom
Energy above the lowest structure with this stoichiometry ... 0.000 eV per formula unit
Total energy ... -5.0224 eV per atom
D(E_F) ... 2.78 states/eV/f.u.


No. 10
VASP calculation (PBE) on a geometry-optimized ReTe2Au structure.

Lattice parameters (Å, degrees): 5.3910 5.3910 7.2378 65.89 65.89 35.99
Sites, in units of the cell vectors:
Au1 0.5369 0.5369 0.4098
Re1 0.2616 0.2616 0.3683
Te1 0.9228 0.9228 0.0793
Te2 0.7788 0.7788 0.6426

Symmetry ... Cm
Formation energy without anion corrections ... 0.371 eV per atom
Volume ... 111.6 Å³ per cell
Total moment ... 0.000 μB per atom
Energy above the lowest structure with this stoichiometry ... 0.401 eV per formula unit
Total energy ... -5.1307 eV per atom
D(E_F) ... 4.02 states/eV/f.u.


No. 11
VASP calculation (PBE) on a geometry-optimized CeTaTc2 structure.

Lattice parameters (Å, degrees): 3.2599 3.2599 6.8393 90.00 90.00 90.00
Sites, in units of the cell vectors:
Tc1 0.0000 0.0000 0.7743
Tc2 0.0000 0.0000 0.2257
Ce1 0.5000 0.5000 0.5000
Ta1 0.5000 0.5000 0.0000

Symmetry ... P4/mmm
Volume ... 72.7 Å³ per cell
Total moment ... 0.000 μB per atom
DFT formation energy ... -149 meV per atom
Total energy ... -9.7783 eV per atom
D(E_F) ... 4.42 states/eV/f.u.


No. 12
VASP calculation (PBE) on a geometry-optimized Nd4SmTm2Mg structure.

Lattice parameters (Å, degrees): 5.0883 5.0890 11.1749 62.93 90.00 90.00
Sites, in units of the cell vectors:
Nd1 0.0000 0.7552 0.7439
Nd2 0.0000 0.2448 0.2561
Nd3 0.5000 0.7439 0.2565
Nd4 0.5000 0.2561 0.7435
Sm1 0.5000 0.5000 0.0000
Tm1 0.0000 0.0000 0.0000
Tm2 0.5000 0.0000 0.5000
Mg1 0.0000 0.5000 0.5000

Symmetry ... P4/mmm
Volume ... 257.7 Å³ per cell
Total moment ... 0.000 μB per atom
DFT formation energy ... 5 meV per atom
Total energy ... -4.2859 eV per atom
D(E_F) ... 10.20 states/eV/f.u.


No. 13
VASP calculation (PBE) on a geometry-optimized RbLa3F structure.

Lattice parameters (Å, degrees): 5.8242 5.8242 5.8242 90.00 90.00 90.00
Sites, in units of the cell vectors:
F1 0.5000 0.5000 0.5000
Rb1 0.0000 0.0000 0.0000
La1 0.0000 0.5000 0.0000
La2 0.0000 0.0000 0.5000
La3 0.5000 0.0000 0.0000

Symmetry ... Pm-3m
Formation energy without anion corrections ... 0.849 eV per atom
Volume ... 197.6 Å³ per cell
Total moment ... 0.009 μB per atom
Energy above the lowest structure with this stoichiometry ... 7.115 eV per formula unit
Total energy ... -2.6754 eV per atom
D(E_F) ... 6.86 states/eV/f.u.


No. 14
VASP calculation (PBE) on a geometry-optimized Ca2TmAu structure.

Lattice parameters (Å, degrees): 3.5623 3.5623 9.4438 90.00 90.00 90.00
Each line ends with the local moment (μB).
Sites, in units of the cell vectors:
Ca1 0.0000 0.0000 0.8048  0.00
Ca2 0.0000 0.0000 0.1952  0.00
Tm1 0.5000 0.5000 0.5000  0.06
Au1 0.5000 0.5000 0.0000  0.00

Symmetry ... P4/mmm
Volume ... 119.8 Å³ per cell
Total moment ... 0.031 μB per atom
Energy above the lowest structure with this stoichiometry ... 0.000 eV per formula unit
DFT formation energy ... -291 meV per atom
Total energy ... -3.2293 eV per atom
D(E_F) ... 6.13 states/eV/f.u.